The following is a PBE calculation of a geometry-optimized Ba2SiTe structure, from Alexandria via LeMat-Bulk.

## Properties
Formation energy (no corrections) ... -0.62 eV per atom
Symmetry ... Fm-3m, No. 225
Excess energy over the best structure of this formula in the dataset ... 0.120 eV/atom
Energy ... -0.137 Ha/atom
DOS at the Fermi energy ... 3.42 states/eV/f.u.

```
4
Lattice="0.729 -5.005 3.049 1.146 0.209 5.790 -4.103 -1.715 3.886" Properties=species:S:1:pos:R:3 pbc="T T T"
Te -1.114 -3.255 6.362
Si 0.000 0.000 0.000
Ba -1.671 -4.883 9.544
Ba -0.557 -1.628 3.181
```